This record from Alexandria via LeMat-Bulk describes a geometry-optimized Er8Zn3Te4Se structure. The functional is PBE.

```
Er8Zn3Te4Se
1.0
7.153 -4.135 0.000
7.153 4.135 0.000
-4.762 0.000 7.179
Er Zn Te Se
8 3 4 1
Direct
0.239 0.744 0.727
0.244 0.244 0.732
0.256 0.256 0.273
0.256 0.761 0.273
0.744 0.239 0.727
0.744 0.744 0.727
0.756 0.756 0.268
0.761 0.256 0.273
0.000 0.000 0.500
0.000 0.500 0.500
0.500 0.000 0.500
0.000 0.000 0.000
0.000 0.500 0.000
0.500 0.000 0.000
0.500 0.500 0.000
0.500 0.500 0.500
```

Calculated values
The crystal system is monoclinic. Its magnetization is 0.0 μB per formula unit. The calculation puts the uncorrected formation energy at -921 meV per atom. The space group is C2/m, No. 12. The calculation puts the calculated total energy at -71.1 eV per cell. As for the density of states at the Fermi level: 12.098 states/eV/cell.



This record from Alexandria via LeMat-Bulk describes a geometry-optimized ScGaCo2H structure. The functional is PBE.

```
ScGaCo2H
1.0
3.862 0.000 0.000
0.000 3.862 0.000
0.000 0.000 3.790
Sc Ga Co H
1 1 2 1
Direct
0.000 0.000 0.000
0.500 0.500 0.000
0.000 0.500 0.500
0.500 0.000 0.500
0.000 0.000 0.500
```

Calculated values
The crystal system is tetragonal. Its magnetization is 0.0 μB per formula unit. The space group is P4/mmm, No. 123. The calculation puts the calculated total energy at -28.3 eV per cell. As for the density of states at the Fermi level: 3.054 states/eV/cell. Its distance to the lowest polymorph of the same formula is 0.057 eV per atom.



This record from Alexandria via LeMat-Bulk describes a geometry-optimized Nd2GeAsPd6 structure. The functional is PBE.

```
Nd2GeAsPd6
1.0
5.551 0.000 0.000
0.000 8.738 0.000
0.000 0.000 8.356
Nd Ge As Pd
4 2 2 12
Direct
0.250 0.001 0.236
0.250 0.499 0.236
0.750 0.501 0.764
0.750 0.999 0.764
0.250 0.750 0.760
0.750 0.250 0.240
0.250 0.250 0.757
0.750 0.750 0.243
0.000 0.250 0.000
0.000 0.750 0.000
0.001 0.250 0.494
0.250 0.001 0.611
0.250 0.499 0.611
0.499 0.250 0.494
0.500 0.250 0.000
0.500 0.750 0.000
0.501 0.750 0.506
0.750 0.501 0.389
0.750 0.999 0.389
0.999 0.750 0.506
```

Calculated values
The crystal system is orthorhombic. Its magnetization is 0.0 μB per formula unit. The space group is Pmmn, No. 59. The calculation puts the calculated total energy at -114.4 eV per cell. As for the density of states at the Fermi level: 6.600 states/eV/cell.



This record from Alexandria via LeMat-Bulk describes a geometry-optimized YZnCdCu structure. The functional is PBE.

```
YZnCdCu
1.0
0.000 3.366 3.366
3.366 0.000 3.366
3.366 3.366 0.000
Y Zn Cd Cu
1 1 1 1
Direct
0.000 0.000 0.000
0.750 0.750 0.750
0.500 0.500 0.500
0.250 0.250 0.250
```

Calculated values
The crystal system is cubic. Its magnetization is 0.0 μB per formula unit. The space group is F-43m, No. 216. The calculation puts the calculated total energy at -13.8 eV per cell. As for the density of states at the Fermi level: 2.443 states/eV/cell.



This record from Alexandria via LeMat-Bulk describes a geometry-optimized UMn4Fe structure. The functional is PBE.

```
UMn4Fe
1.0
0.000 3.450 3.450
3.450 0.000 3.450
3.450 3.450 0.000
U Mn Fe
1 4 1
Direct
0.000 0.000 0.000
0.126 0.625 0.625
0.625 0.126 0.625
0.625 0.625 0.126
0.625 0.625 0.625
0.250 0.250 0.250
```

Calculated values
The crystal system is cubic. Its magnetization is 9.7 μB per formula unit. The space group is F-43m, No. 216. The calculation puts the calculated total energy at -55.0 eV per cell. As for the density of states at the Fermi level: 11.535 states/eV/cell.



This record from Alexandria via LeMat-Bulk describes a geometry-optimized Pm5Sm2Y4 structure. The functional is PBE.

```
Pm5Sm2Y4
1.0
-1.776 4.596 11.811
1.776 -4.596 11.811
1.776 4.596 -11.811
Pm Sm Y
5 2 4
Direct
0.000 0.000 0.000
0.053 0.355 0.698
0.343 0.645 0.698
0.657 0.355 0.302
0.947 0.645 0.302
0.268 0.768 0.500
0.732 0.232 0.500
0.312 0.500 0.812
0.402 0.902 0.500
0.598 0.098 0.500
0.688 0.500 0.188
```

Calculated values
The crystal system is orthorhombic. Its magnetization is 0.0 μB per formula unit. The space group is Immm, No. 71. The calculation puts the calculated total energy at -56.8 eV per cell. As for the density of states at the Fermi level: 17.060 states/eV/cell. Its distance to the lowest polymorph of the same formula is 0.083 eV per atom.



This record from Alexandria via LeMat-Bulk describes a geometry-optimized NpAl2GaGe structure. The functional is PBE.

```
NpAl2GaGe
1.0
2.026 -5.081 0.000
2.026 5.081 0.000
0.000 0.000 9.184
Np Al Ga Ge
2 4 2 2
Direct
0.078 0.922 0.750
0.922 0.078 0.250
0.218 0.782 0.088
0.218 0.782 0.412
0.782 0.218 0.588
0.782 0.218 0.912
0.500 0.500 0.000
0.500 0.500 0.500
0.363 0.637 0.750
0.637 0.363 0.250
```

Calculated values
The crystal system is orthorhombic. Its magnetization is 4.2 μB per formula unit. The space group is Cmcm, No. 63. The calculation puts the calculated total energy at -57.3 eV per cell. As for the density of states at the Fermi level: 13.706 states/eV/cell.



This record from Alexandria via LeMat-Bulk describes a geometry-optimized LiNi2Hg structure. The functional is PBE.

```
LiNi2Hg
1.0
2.786 0.000 0.000
0.000 3.736 0.000
0.000 0.000 5.336
Li Ni Hg
1 2 1
Direct
0.000 0.000 0.000
0.500 0.500 0.229
0.500 0.500 0.771
0.000 0.000 0.500
```

Calculated values
The crystal system is orthorhombic. Its magnetization is 0.0 μB per formula unit. The space group is Pmmm, No. 47. The calculation puts the calculated total energy at -13.2 eV per cell. As for the density of states at the Fermi level: 3.499 states/eV/cell.